LiCaAs | PBE | optimized geometry

a = 4.2814 Å, b = 7.1758 Å, c = 12.3264 Å
α = 89.93°, β = 90.00°, γ = 90.00°
Last column: nearest neighbours and their distance in Å.
Element x y z (fractional)
Li  0.2500  0.9985  0.0887  4 As 2.73-2.79, 1 Li 2.90
Li  0.2500  0.8561  0.4586  4 As 2.64-2.75
Li  0.7500  0.6488  0.7959  4 As 2.68-2.87, 1 Li 2.90
Li  0.7500  0.1439  0.5414  4 As 2.64-2.75
Li  0.2500  0.3512  0.2041  4 As 2.68-2.87, 1 Li 2.90
Li  0.7500  0.0015  0.9113  4 As 2.73-2.79, 1 Li 2.90
Ca  0.7500  0.5201  0.3742  5 As 3.02-3.05, 2 Li 3.23
Ca  0.2500  0.9812  0.6997  5 As 3.00-3.07, 3 Li 3.11-3.12
Ca  0.7500  0.0188  0.3003  5 As 3.00-3.07, 3 Li 3.11-3.12
Ca  0.7500  0.6609  0.0808  5 As 3.01-3.11, 3 Li 3.21-3.23
Ca  0.2500  0.4799  0.6258  5 As 3.02-3.05, 2 Li 3.23
Ca  0.2500  0.3391  0.9192  5 As 3.01-3.11, 3 Li 3.21-3.23
As  0.2500  0.7653  0.9082  5 Li 2.68-2.79, 1 Ca 3.00
As  0.7500  0.2679  0.7522  3 Li 2.74-2.79, 6 Ca 3.01-3.05
As  0.7500  0.7664  0.5730  4 Li 2.64-2.87
As  0.7500  0.2347  0.0918  5 Li 2.68-2.79, 1 Ca 3.00
As  0.2500  0.2336  0.4270  4 Li 2.64-2.87
As  0.2500  0.7321  0.2478  3 Li 2.74-2.79, 6 Ca 3.01-3.05

Values from the calculation:
**Symmetry**: P2_1/m, No. 11
**Magnetization**: 0.00 Bohr magnetons per cell
**Total DFT energy (no corrections)**: -3.913 eV per atom
**Volume**: 378.7 Å³/cell